Material: Ca3IN
Method: DFT, PBE-GGA
State: relaxed

- N(E_F): 1.7 states/eV/f.u.
- Formation energy (no corrections): -0.816 eV per atom
- Final energy: -3.992 eV/atom
- Mass density: 2.7 g/cm³
- Energy above the most stable polymorph in this dataset: 0 meV per atom

CIF file:
```
data_Ca3IN
_cell_length_a 13.1961
_cell_length_b 6.6765
_cell_length_c 7.2774
_cell_angle_alpha 90.00
_cell_angle_beta 90.26
_cell_angle_gamma 90.00
_space_group_name_H-M_alt 'C 1 2/m 1'
_space_group_IT_number 12
loop_
_space_group_symop_operation_xyz
'x,y,z'
'-x,-y,-z'
'-x,y,-z'
'x,-y,z'
'x+1/2,y+1/2,z'
'-x+1/2,-y+1/2,-z'
'-x+1/2,y+1/2,-z'
'x+1/2,-y+1/2,z'
loop_
_atom_site_label
_atom_site_type_symbol
_atom_site_fract_x
_atom_site_fract_y
_atom_site_fract_z
_atom_site_occupancy
Ca1 Ca 0.1260 0.0000 0.3328 1
Ca2 Ca 0.1499 0.2465 0.8888 1
I1 I 0.0564 0.5000 0.2537 1
N1 N 0.2249 0.0000 0.0825 1
```